The following is a DFT calculation (PBEsol) of an optimized crystal structure of Rb2PCl. Values from VASP.

Computed properties:
Energy relative to the elements, uncorrected = -0.476 eV/atom
Total moment = 4.0 Bohr magnetons per cell
Final energy = -2.94 eV per atom

```
&SYSTEM
  ibrav = 0, nat = 8, ntyp = 3
/
ATOMIC_SPECIES
Rb 85.47 Rb.upf
P 30.97 P.upf
Cl 35.45 Cl.upf
CELL_PARAMETERS angstrom
-4.3300 4.3300 4.3911
4.3300 -4.3300 4.3911
4.3300 4.3300 -4.3911
ATOMIC_POSITIONS crystal
Rb 0.1003 0.1250 0.4753
Rb 0.3750 0.8997 0.0247
Rb 0.6497 0.6250 0.5247
Rb 0.8750 0.3503 0.9753
P 0.2500 0.7500 0.5000
P 0.5000 0.5000 0.0000
Cl 0.0000 0.0000 0.0000
Cl 0.7500 0.2500 0.5000
```

***

The following is a DFT calculation (PBEsol) of an optimized crystal structure of RbPS2Cl. Values from VASP.

Computed properties:
Energy relative to the elements, uncorrected = 1.543 eV/atom
Total moment = 7.1 Bohr magnetons per cell
Final energy = -1.98 eV per atom

```
&SYSTEM
  ibrav = 0, nat = 5, ntyp = 4
/
ATOMIC_SPECIES
Rb 85.47 Rb.upf
P 30.97 P.upf
S 32.06 S.upf
Cl 35.45 Cl.upf
CELL_PARAMETERS angstrom
6.4232 0.0000 0.0000
0.0000 6.4232 0.0000
0.0000 0.0000 6.5910
ATOMIC_POSITIONS crystal
Rb 0.0000 0.0000 0.0000
P 0.0000 0.0000 0.5000
S 0.0000 0.5000 0.0000
S 0.5000 0.0000 0.0000
Cl 0.5000 0.5000 0.5000
```

***

The following is a DFT calculation (PBEsol) of an optimized crystal structure of RbSbP2Cl. Values from VASP.

Computed properties:
Energy relative to the elements, uncorrected = 0.076 eV/atom
Total moment = 0.3 Bohr magnetons per cell
Final energy = -3.76 eV per atom

```
&SYSTEM
  ibrav = 0, nat = 5, ntyp = 4
/
ATOMIC_SPECIES
Rb 85.47 Rb.upf
Sb 121.76 Sb.upf
P 30.97 P.upf
Cl 35.45 Cl.upf
CELL_PARAMETERS angstrom
5.0226 0.0000 0.0000
0.0000 5.0226 0.0000
0.0000 0.0000 5.7485
ATOMIC_POSITIONS crystal
Rb 0.0000 0.0000 0.0000
Sb 0.5000 0.5000 0.5000
P 0.0000 0.5000 0.5000
P 0.5000 0.0000 0.5000
Cl 0.5000 0.5000 0.0000
```

***

The following is a DFT calculation (PBEsol) of an optimized crystal structure of RbSnP2Cl. Values from VASP.

Computed properties:
Energy relative to the elements, uncorrected = 0.033 eV/atom
Total moment = 0.8 Bohr magnetons per cell
Final energy = -3.74 eV per atom

```
&SYSTEM
  ibrav = 0, nat = 5, ntyp = 4
/
ATOMIC_SPECIES
Rb 85.47 Rb.upf
Sn 118.71 Sn.upf
P 30.97 P.upf
Cl 35.45 Cl.upf
CELL_PARAMETERS angstrom
5.0292 0.0000 0.0000
0.0000 5.0292 0.0000
0.0000 0.0000 5.7164
ATOMIC_POSITIONS crystal
Rb 0.0000 0.0000 0.0000
Sn 0.5000 0.5000 0.5000
P 0.0000 0.5000 0.5000
P 0.5000 0.0000 0.5000
Cl 0.5000 0.5000 0.0000
```

***

The following is a DFT calculation (PBEsol) of an optimized crystal structure of RbSnPCl2. Values from VASP.

Computed properties:
Energy relative to the elements, uncorrected = -0.599 eV/atom
Total moment = 1.0 Bohr magnetons per cell
Final energy = -3.62 eV per atom

```
&SYSTEM
  ibrav = 0, nat = 5, ntyp = 4
/
ATOMIC_SPECIES
Rb 85.47 Rb.upf
Sn 118.71 Sn.upf
P 30.97 P.upf
Cl 35.45 Cl.upf
CELL_PARAMETERS angstrom
5.4395 0.0000 0.0000
0.0000 5.4395 0.0000
0.0000 0.0000 5.0959
ATOMIC_POSITIONS crystal
Rb 0.0000 0.0000 0.0000
Sn 0.5000 0.5000 0.5000
P 0.5000 0.5000 0.0000
Cl 0.0000 0.5000 0.5000
Cl 0.5000 0.0000 0.5000
```

***

The following is a DFT calculation (PBEsol) of an optimized crystal structure of RbPWCl2. Values from VASP.

Computed properties:
Energy relative to the elements, uncorrected = -0.418 eV/atom
Total moment = 0.5 Bohr magnetons per cell
Final energy = -5.35 eV per atom

```
&SYSTEM
  ibrav = 0, nat = 5, ntyp = 4
/
ATOMIC_SPECIES
Rb 85.47 Rb.upf
P 30.97 P.upf
W 183.84 W.upf
Cl 35.45 Cl.upf
CELL_PARAMETERS angstrom
4.9489 0.0000 0.0000
0.0000 4.9489 0.0000
0.0000 0.0000 4.6756
ATOMIC_POSITIONS crystal
Rb 0.0000 0.0000 0.0000
P 0.5000 0.5000 0.0000
W 0.5000 0.5000 0.5000
Cl 0.0000 0.5000 0.5000
Cl 0.5000 0.0000 0.5000
```

***

The following is a DFT calculation (PBEsol) of an optimized crystal structure of RePCl9. Values from VASP.

Computed properties:
Energy relative to the elements, uncorrected = -0.603 eV/atom
Total moment = 6.0 Bohr magnetons per cell
Final energy = -3.98 eV per atom

```
&SYSTEM
  ibrav = 0, nat = 22, ntyp = 3
/
ATOMIC_SPECIES
Re 186.21 Re.upf
P 30.97 P.upf
Cl 35.45 Cl.upf
CELL_PARAMETERS angstrom
6.9683 0.0000 0.0000
-0.5144 9.1477 0.0000
-1.0283 -1.9823 9.0844
ATOMIC_POSITIONS crystal
Re 0.1128 0.1365 0.1640
Re 0.8872 0.8635 0.8360
P 0.4490 0.3164 0.7213
P 0.5510 0.6836 0.2787
Cl 0.0073 0.7179 0.6392
Cl 0.0698 0.3252 0.0349
Cl 0.1409 0.9419 0.2907
Cl 0.2081 0.9761 0.9461
Cl 0.2530 0.4627 0.7336
Cl 0.3280 0.6015 0.3556
Cl 0.3372 0.1324 0.5864
Cl 0.4317 0.2191 0.2423
Cl 0.4684 0.7184 0.0833
Cl 0.5316 0.2816 0.9167
Cl 0.5683 0.7809 0.7577
Cl 0.6628 0.8676 0.4136
Cl 0.6720 0.3985 0.6444
Cl 0.7470 0.5373 0.2664
Cl 0.7919 0.0239 0.0539
Cl 0.8591 0.0581 0.7093
Cl 0.9302 0.6748 0.9651
Cl 0.9927 0.2821 0.3608
```

***

The following is a DFT calculation (PBEsol) of an optimized crystal structure of RePCl. Values from VASP.

Computed properties:
Energy relative to the elements, uncorrected = 0.079 eV/atom
Total moment = 0.0 Bohr magnetons per cell
Final energy = -6.96 eV per atom

```
&SYSTEM
  ibrav = 0, nat = 3, ntyp = 3
/
ATOMIC_SPECIES
Re 186.21 Re.upf
P 30.97 P.upf
Cl 35.45 Cl.upf
CELL_PARAMETERS angstrom
-1.5476 1.5476 5.9112
1.5476 -1.5476 5.9112
1.5476 1.5476 -5.9112
ATOMIC_POSITIONS crystal
Re 0.0000 0.0000 0.0000
P 0.5765 0.5765 0.0000
Cl 0.8083 0.8083 0.0000
```

***

The following is a DFT calculation (PBEsol) of an optimized crystal structure of ReP2SCl. Values from VASP.

Computed properties:
Energy relative to the elements, uncorrected = 0.376 eV/atom
Total moment = 0.0 Bohr magnetons per cell
Final energy = -5.89 eV per atom

```
&SYSTEM
  ibrav = 0, nat = 5, ntyp = 4
/
ATOMIC_SPECIES
Re 186.21 Re.upf
P 30.97 P.upf
S 32.06 S.upf
Cl 35.45 Cl.upf
CELL_PARAMETERS angstrom
4.6330 0.0000 0.0000
0.0000 4.6330 0.0000
0.0000 0.0000 4.4875
ATOMIC_POSITIONS crystal
Re 0.0000 0.0000 0.0000
P 0.0000 0.5000 0.0000
P 0.5000 0.0000 0.0000
S 0.0000 0.0000 0.5000
Cl 0.5000 0.5000 0.5000
```

***

The following is a DFT calculation (PBEsol) of an optimized crystal structure of ScReP2Cl. Values from VASP.

Computed properties:
Energy relative to the elements, uncorrected = 0.173 eV/atom
Total moment = 0.0 Bohr magnetons per cell
Final energy = -6.53 eV per atom

```
&SYSTEM
  ibrav = 0, nat = 5, ntyp = 4
/
ATOMIC_SPECIES
Sc 44.96 Sc.upf
Re 186.21 Re.upf
P 30.97 P.upf
Cl 35.45 Cl.upf
CELL_PARAMETERS angstrom
4.5336 0.0000 0.0000
0.0000 4.5336 0.0000
0.0000 0.0000 4.8951
ATOMIC_POSITIONS crystal
Sc 0.0000 0.0000 0.0000
Re 0.5000 0.5000 0.5000
P 0.0000 0.5000 0.5000
P 0.5000 0.0000 0.5000
Cl 0.5000 0.5000 0.0000
```

***

The following is a DFT calculation (PBEsol) of an optimized crystal structure of ReSn2PCl. Values from VASP.

Computed properties:
Energy relative to the elements, uncorrected = 1.579 eV/atom
Total moment = 2.5 Bohr magnetons per cell
Final energy = -4.35 eV per atom

```
&SYSTEM
  ibrav = 0, nat = 5, ntyp = 4
/
ATOMIC_SPECIES
Re 186.21 Re.upf
Sn 118.71 Sn.upf
P 30.97 P.upf
Cl 35.45 Cl.upf
CELL_PARAMETERS angstrom
5.0467 0.0000 0.0000
0.0000 5.0467 0.0000
0.0000 0.0000 4.4448
ATOMIC_POSITIONS crystal
Re 0.0000 0.0000 0.0000
Sn 0.0000 0.5000 0.5000
Sn 0.5000 0.0000 0.5000
P 0.5000 0.5000 0.0000
Cl 0.5000 0.5000 0.5000
```

***

The following is a DFT calculation (PBEsol) of an optimized crystal structure of SrRePCl2. Values from VASP.

Computed properties:
Energy relative to the elements, uncorrected = 0.830 eV/atom
ΔE to the lowest computed polymorph = 1303 meV/atom
Total moment = 4.0 Bohr magnetons per cell
Final energy = -4.17 eV per atom

```
&SYSTEM
  ibrav = 0, nat = 5, ntyp = 4
/
ATOMIC_SPECIES
Sr 87.62 Sr.upf
Re 186.21 Re.upf
P 30.97 P.upf
Cl 35.45 Cl.upf
CELL_PARAMETERS angstrom
5.2497 0.0000 0.0000
0.0000 5.2497 0.0000
0.0000 0.0000 5.9969
ATOMIC_POSITIONS crystal
Sr 0.0000 0.0000 0.0000
Re 0.5000 0.5000 0.5000
P 0.0000 0.0000 0.5000
Cl 0.0000 0.5000 0.0000
Cl 0.5000 0.0000 0.0000
```

***

The following is a DFT calculation (PBEsol) of an optimized crystal structure of SrRePCl2. Values from VASP.

Computed properties:
Energy relative to the elements, uncorrected = -0.472 eV/atom
ΔE to the lowest computed polymorph = 0 meV/atom
Total moment = 0.0 Bohr magnetons per cell
Final energy = -5.47 eV per atom

```
&SYSTEM
  ibrav = 0, nat = 5, ntyp = 4
/
ATOMIC_SPECIES
Sr 87.62 Sr.upf
Re 186.21 Re.upf
P 30.97 P.upf
Cl 35.45 Cl.upf
CELL_PARAMETERS angstrom
4.9167 0.0000 0.0000
0.0000 4.9167 0.0000
0.0000 0.0000 4.5631
ATOMIC_POSITIONS crystal
Sr 0.0000 0.0000 0.0000
Re 0.5000 0.5000 0.5000
P 0.5000 0.5000 0.0000
Cl 0.0000 0.5000 0.5000
Cl 0.5000 0.0000 0.5000
```

***

The following is a DFT calculation (PBEsol) of an optimized crystal structure of ReTePCl2. Values from VASP.

Computed properties:
Energy relative to the elements, uncorrected = 0.421 eV/atom
Total moment = 0.0 Bohr magnetons per cell
Final energy = -4.91 eV per atom

```
&SYSTEM
  ibrav = 0, nat = 5, ntyp = 4
/
ATOMIC_SPECIES
Re 186.21 Re.upf
Te 127.60 Te.upf
P 30.97 P.upf
Cl 35.45 Cl.upf
CELL_PARAMETERS angstrom
4.6161 0.0000 0.0000
0.0000 4.6161 0.0000
0.0000 0.0000 4.7913
ATOMIC_POSITIONS crystal
Re 0.0000 0.0000 0.0000
Te 0.5000 0.5000 0.5000
P 0.0000 0.0000 0.5000
Cl 0.0000 0.5000 0.0000
Cl 0.5000 0.0000 0.0000
```

***

The following is a DFT calculation (PBEsol) of an optimized crystal structure of TiRePCl2. Values from VASP.

Computed properties:
Energy relative to the elements, uncorrected = 0.628 eV/atom
Total moment = 2.6 Bohr magnetons per cell
Final energy = -5.66 eV per atom

```
&SYSTEM
  ibrav = 0, nat = 5, ntyp = 4
/
ATOMIC_SPECIES
Ti 47.87 Ti.upf
Re 186.21 Re.upf
P 30.97 P.upf
Cl 35.45 Cl.upf
CELL_PARAMETERS angstrom
4.7444 0.0000 0.0000
0.0000 4.7444 0.0000
0.0000 0.0000 4.5726
ATOMIC_POSITIONS crystal
Ti 0.0000 0.0000 0.0000
Re 0.5000 0.5000 0.5000
P 0.5000 0.5000 0.0000
Cl 0.0000 0.5000 0.5000
Cl 0.5000 0.0000 0.5000
```

***

The following is a DFT calculation (PBEsol) of an optimized crystal structure of ReP2WCl. Values from VASP.

Computed properties:
Energy relative to the elements, uncorrected = 1.475 eV/atom
Total moment = 4.1 Bohr magnetons per cell
Final energy = -6.67 eV per atom

```
&SYSTEM
  ibrav = 0, nat = 5, ntyp = 4
/
ATOMIC_SPECIES
Re 186.21 Re.upf
P 30.97 P.upf
W 183.84 W.upf
Cl 35.45 Cl.upf
CELL_PARAMETERS angstrom
4.5352 0.0000 0.0000
0.0000 4.5352 0.0000
0.0000 0.0000 4.7866
ATOMIC_POSITIONS crystal
Re 0.0000 0.0000 0.0000
P 0.0000 0.5000 0.0000
P 0.5000 0.0000 0.0000
W 0.5000 0.5000 0.5000
Cl 0.0000 0.0000 0.5000
```

***

The following is a DFT calculation (PBEsol) of an optimized crystal structure of PRh2Cl. Values from VASP.

Computed properties:
Energy relative to the elements, uncorrected = 0.188 eV/atom
ΔE to the lowest computed polymorph = 294 meV/atom
Total moment = 0.0 Bohr magnetons per cell
Final energy = -5.83 eV per atom

```
&SYSTEM
  ibrav = 0, nat = 4, ntyp = 3
/
ATOMIC_SPECIES
P 30.97 P.upf
Rh 102.91 Rh.upf
Cl 35.45 Cl.upf
CELL_PARAMETERS angstrom
4.3004 0.0000 0.0000
0.0000 4.3004 0.0000
0.0000 0.0000 2.9381
ATOMIC_POSITIONS crystal
P 0.0000 0.0000 0.0000
Rh 0.0000 0.5000 0.5000
Rh 0.5000 0.0000 0.5000
Cl 0.5000 0.5000 0.0000
```

***

The following is a DFT calculation (PBEsol) of an optimized crystal structure of PRh2Cl. Values from VASP.

Computed properties:
Energy relative to the elements, uncorrected = -0.036 eV/atom
ΔE to the lowest computed polymorph = 70 meV/atom
Total moment = 0.0 Bohr magnetons per cell
Final energy = -6.06 eV per atom

```
&SYSTEM
  ibrav = 0, nat = 4, ntyp = 3
/
ATOMIC_SPECIES
P 30.97 P.upf
Rh 102.91 Rh.upf
Cl 35.45 Cl.upf
CELL_PARAMETERS angstrom
3.2738 0.0000 0.0000
0.0000 3.2738 0.0000
0.0000 0.0000 5.7421
ATOMIC_POSITIONS crystal
P 0.0000 0.0000 0.0000
Rh 0.0000 0.0000 0.3766
Rh 0.5000 0.5000 0.0741
Cl 0.5000 0.5000 0.6020
```

***

The following is a DFT calculation (PBEsol) of an optimized crystal structure of PRh2Cl. Values from VASP.

Computed properties:
Energy relative to the elements, uncorrected = 0.251 eV/atom
ΔE to the lowest computed polymorph = 357 meV/atom
Total moment = 0.0 Bohr magnetons per cell
Final energy = -5.77 eV per atom

```
&SYSTEM
  ibrav = 0, nat = 4, ntyp = 3
/
ATOMIC_SPECIES
P 30.97 P.upf
Rh 102.91 Rh.upf
Cl 35.45 Cl.upf
CELL_PARAMETERS angstrom
2.8317 0.0000 0.0000
0.0000 3.8689 0.0000
0.0000 0.0000 5.3479
ATOMIC_POSITIONS crystal
P 0.0000 0.0000 0.0000
Rh 0.0000 0.5000 0.5000
Rh 0.5000 0.5000 0.0000
Cl 0.5000 0.0000 0.5000
```

***

The following is a DFT calculation (PBEsol) of an optimized crystal structure of PRh2Cl. Values from VASP.

Computed properties:
Energy relative to the elements, uncorrected = 0.286 eV/atom
ΔE to the lowest computed polymorph = 393 meV/atom
Total moment = 0.0 Bohr magnetons per cell
Final energy = -5.73 eV per atom

```
&SYSTEM
  ibrav = 0, nat = 4, ntyp = 3
/
ATOMIC_SPECIES
P 30.97 P.upf
Rh 102.91 Rh.upf
Cl 35.45 Cl.upf
CELL_PARAMETERS angstrom
-1.7198 1.7198 4.7767
1.7198 -1.7198 4.7767
1.7198 1.7198 -4.7767
ATOMIC_POSITIONS crystal
P 0.0000 0.0000 0.0000
Rh 0.5000 0.5000 0.0000
Rh 0.7500 0.2500 0.5000
Cl 0.2500 0.7500 0.5000
```